Ta2TiCrTe | PBE | relaxed

a b c (Å): 4.9777 4.8001 4.9777
angles (deg): 90.00 90.00 90.00
Last column: nearest neighbours and their distance in Å.
Positions (direct):
Cr 0.5000 0.5000 0.5000  8 Ta 3.46, 4 Ti 3.52
Te 0.0000 0.0000 0.0000  2 Ti 2.40, 4 Ta 2.49
Ti 0.0000 0.5000 0.0000  2 Te 2.40
Ta 0.0000 0.0000 0.5000  2 Te 2.49
Ta 0.5000 0.0000 0.0000  2 Te 2.49

Computed properties:
Magnetic moment = 0.0 μB/cell
SG = No. 123
Raw total energy = -6.9318 eV/atom
Crystal system = tetragonal

***

CrPt3C | PBE | relaxed

a b c (Å): 4.5582 4.5582 4.5582
angles (deg): 90.00 90.00 90.00
Last column: nearest neighbours and their distance in Å.
Positions (direct):
Cr 0.0000 0.0000 0.0000  6 Pt 2.28
C 0.5000 0.5000 0.5000  12 Pt 3.22
Pt 0.0000 0.5000 0.0000  2 Cr 2.28
Pt 0.0000 0.0000 0.5000  2 Cr 2.28
Pt 0.5000 0.0000 0.0000  2 Cr 2.28

Computed properties:
Magnetic moment = 0.0 μB/cell
SG = No. 221
Raw total energy = -5.1451 eV/atom
DFT formation energy = 2.249 eV/atom
Crystal system = cubic

***

NaTm3S4 | PBE | relaxed

a b c (Å): 3.8492 6.7273 6.7273
angles (deg): 70.95 90.00 90.00
Last column: nearest neighbours and their distance in Å.
Positions (direct):
Na 0.5000 0.5003 0.9998  6 S 2.76-2.78
S 0.0000 0.7569 0.7432  4 Tm 2.70-2.74, 2 Na 2.78
S 0.4999 0.7516 0.2516  5 Tm 2.72-2.74, 1 Na 2.76
S 0.0000 0.2434 0.2567  4 Tm 2.70-2.74, 2 Na 2.78
S 0.4999 0.2485 0.7485  5 Tm 2.72-2.74, 1 Na 2.76
Tm 0.5000 0.0001 0.5000  6 S 2.70-2.72
Tm 0.9999 0.0001 0.0001  6 S 2.74
Tm 0.9999 0.5000 0.5000  6 S 2.74

Computed properties:
Magnetic moment = 0.0 μB/cell
SG = No. 65
Raw total energy = -5.7918 eV/atom
Crystal system = orthorhombic

***

PRhBr2 | PBE | relaxed

a b c (Å): 3.6056 3.6056 8.4545
angles (deg): 90.25 90.25 60.00
Last column: nearest neighbours and their distance in Å.
Positions (direct):
P 0.6253 0.6253 0.4202  1 Br 2.20, 3 Rh 2.32
Rh 0.2911 0.2911 0.3002  3 P 2.32
Br 0.9564 0.9564 0.0986  3 Rh 2.69
Br 0.6271 0.6271 0.6810  1 P 2.20

Computed properties:
Magnetic moment = 0.0 μB/cell
SG = No. 8
Raw total energy = -4.5347 eV/atom
Crystal system = monoclinic

***

MnAg2Mo | PBE | relaxed

a b c (Å): 4.7103 2.6967 5.2258
angles (deg): 77.41 90.00 90.00
Last column: nearest neighbours and their distance in Å.
Positions (direct):
Ag 0.0000 0.0716 0.0070  5 Ag 2.65-2.91, 2 Mn 2.77, 2 Mo 2.93
Ag 0.0000 0.4284 0.4930  5 Ag 2.65-2.91, 2 Mn 2.77, 2 Mo 2.93
Mn 0.5000 0.2500 0.2500  2 Mo 2.67, 2 Mn 2.70, 4 Ag 2.77
Mo 0.5000 0.7500 0.7500  2 Mn 2.67, 2 Mo 2.70, 4 Ag 2.93

Computed properties:
Magnetic moment = 2.7 μB/cell
SG = No. 10
Raw total energy = -5.9339 eV/atom
DFT formation energy = 0.492 eV/atom
Crystal system = monoclinic

***

Cs2TmCrS4 | PBE | relaxed

a b c (Å): 6.3780 7.8251 13.1962
angles (deg): 84.35 76.02 65.95
Last column: nearest neighbours and their distance in Å.
Positions (direct):
Cs 0.1783 0.0000 0.6434  8 S 3.81-4.11
Cs 0.8217 0.0000 0.3566  8 S 3.81-4.11
Cs 0.5717 0.5000 0.8566  8 S 3.81-4.11
Cs 0.9283 0.5000 0.1434  8 S 3.81-4.11
Tm 0.7500 0.5000 0.5000  4 S 2.53
Tm 0.0000 0.0000 0.0000  4 S 2.53
Cr 0.2500 0.5000 0.5000  4 S 2.29
Cr 0.5000 0.0000 0.0000  4 S 2.29
S 0.3226 0.8166 0.0966  1 Cr 2.29, 1 Tm 2.53
S 0.2358 0.1834 0.9034  1 Cr 2.29, 1 Tm 2.53
S 0.8608 0.8166 0.9034  1 Cr 2.29, 1 Tm 2.53
S 0.5808 0.1834 0.0966  1 Cr 2.29, 1 Tm 2.53
S 0.4274 0.6834 0.4034  1 Cr 2.29, 1 Tm 2.53
S 0.5142 0.3166 0.5966  1 Cr 2.29, 1 Tm 2.53
S 0.8892 0.6834 0.5966  1 Cr 2.29, 1 Tm 2.53
S 0.1692 0.3166 0.4034  1 Cr 2.29, 1 Tm 2.53

Computed properties:
Magnetic moment = 6.0 μB/cell
SG = No. 70
Raw total energy = -5.2445 eV/atom
Crystal system = orthorhombic

***

MgAlCd2 | PBE | relaxed

a b c (Å): 5.4034 5.4034 5.2530
angles (deg): 82.73 82.73 33.38
Last column: nearest neighbours and their distance in Å.
Positions (direct):
Mg 0.7500 0.7500 0.7500  4 Al 3.05, 6 Cd 3.07-3.14, 2 Mg 3.10
Al 0.2500 0.2500 0.2500  6 Cd 3.04-3.17, 4 Mg 3.05, 2 Al 3.10
Cd 0.0018 0.0018 0.0001  3 Al 3.04-3.17, 6 Cd 3.05-3.10, 3 Mg 3.07-3.14
Cd 0.4982 0.4982 0.4999  3 Al 3.04-3.17, 6 Cd 3.05-3.10, 3 Mg 3.07-3.14

Computed properties:
Magnetic moment = 0.0 μB/cell
SG = No. 12
Raw total energy = -1.7762 eV/atom
DFT formation energy = 0.016 eV/atom
Crystal system = monoclinic

***

LiSc3Re | PBE | relaxed

a b c (Å): 5.1207 5.1207 5.1207
angles (deg): 90.00 90.00 90.00
Last column: nearest neighbours and their distance in Å.
Positions (direct):
Sc 0.0000 0.5000 0.0000  2 Re 2.56
Sc 0.0000 0.0000 0.5000  2 Re 2.56
Sc 0.5000 0.0000 0.0000  2 Re 2.56
Re 0.0000 0.0000 0.0000  6 Sc 2.56
Li 0.5000 0.5000 0.5000  12 Sc 3.62

Computed properties:
Magnetic moment = 0.0 μB/cell
SG = No. 221
Raw total energy = -6.4077 eV/atom
DFT formation energy = 0.264 eV/atom
Crystal system = cubic